The following is a DFT calculation (PBE) of crystalline Na4Bi2PC4O16 at its relaxed geometry.

a b c (Å): 10.684 10.558 10.180
angles (deg): 61.99 60.74 57.27
Sites, in units of the cell vectors:
1 Na 0.077 0.673 0.077
2 Na 0.078 0.672 0.672
3 Na 0.327 0.923 0.327
4 Na 0.328 0.922 0.922
5 Na 0.672 0.078 0.078
6 Na 0.673 0.077 0.673
7 Na 0.922 0.328 0.328
8 Na 0.923 0.327 0.923
9 Bi 0.000 0.500 0.500
10 Bi 0.500 0.000 0.500
11 Bi 0.500 0.500 0.000
12 Bi 0.500 0.500 0.500
13 P 0.125 0.125 0.125
14 P 0.875 0.875 0.875
15 C 0.262 0.661 0.292
16 C 0.284 0.292 0.661
17 C 0.292 0.284 0.262
18 C 0.339 0.738 0.716
19 C 0.661 0.262 0.284
20 C 0.708 0.716 0.738
21 C 0.716 0.708 0.339
22 C 0.738 0.339 0.708
23 O 0.055 0.307 0.070
24 O 0.069 0.070 0.307
25 O 0.070 0.069 0.055
26 O 0.141 0.653 0.414
27 O 0.154 0.303 0.668
28 O 0.158 0.406 0.272
29 O 0.272 0.664 0.158
30 O 0.293 0.414 0.653
31 O 0.303 0.154 0.375
32 O 0.307 0.055 0.069
33 O 0.332 0.625 0.846
34 O 0.336 0.728 0.594
35 O 0.347 0.859 0.707
36 O 0.375 0.668 0.303
37 O 0.406 0.158 0.664
38 O 0.414 0.293 0.141
39 O 0.586 0.707 0.859
40 O 0.594 0.842 0.336
41 O 0.625 0.332 0.697
42 O 0.653 0.141 0.293
43 O 0.664 0.272 0.406
44 O 0.668 0.375 0.154
45 O 0.693 0.945 0.931
46 O 0.697 0.846 0.625
47 O 0.707 0.586 0.347
48 O 0.728 0.336 0.842
49 O 0.842 0.594 0.728
50 O 0.846 0.697 0.332
51 O 0.859 0.347 0.586
52 O 0.930 0.931 0.945
53 O 0.931 0.930 0.693
54 O 0.945 0.693 0.930

Properties
As for the space-group type: No. 70. As for the density of states at the Fermi level: 17.81 states/eV/cell. Its uncorrected energy is -353.0 eV per cell. The value obtained for the calculated density is 3.47 Mg/m³.



The following is a DFT calculation (PBE) of crystalline Na5Bi2PC4O16 at its relaxed geometry.

a b c (Å): 10.528 10.431 10.315
angles (deg): 60.99 60.05 58.96
Sites, in units of the cell vectors:
1 Na 0.193 0.193 0.807
2 Na 0.194 0.806 0.194
3 Na 0.196 0.804 0.804
4 Na 0.556 0.944 0.944
5 Na 0.559 0.941 0.559
6 Na 0.804 0.196 0.196
7 Na 0.806 0.194 0.806
8 Na 0.807 0.807 0.193
9 Na 0.941 0.559 0.941
10 Na 0.944 0.556 0.556
11 Bi 0.366 0.876 0.382
12 Bi 0.376 0.382 0.876
13 Bi 0.382 0.376 0.366
14 Bi 0.876 0.366 0.376
15 P 0.000 0.000 0.000
16 P 0.750 0.750 0.750
17 C 0.135 0.541 0.164
18 C 0.160 0.164 0.541
19 C 0.164 0.160 0.135
20 C 0.219 0.591 0.599
21 C 0.541 0.135 0.160
22 C 0.591 0.219 0.591
23 C 0.591 0.599 0.591
24 C 0.599 0.591 0.219
25 O 0.005 0.541 0.285
26 O 0.032 0.175 0.542
27 O 0.032 0.280 0.144
28 O 0.144 0.544 0.032
29 O 0.169 0.285 0.541
30 O 0.175 0.032 0.252
31 O 0.184 0.938 0.939
32 O 0.215 0.471 0.728
33 O 0.220 0.585 0.475
34 O 0.224 0.714 0.596
35 O 0.252 0.542 0.175
36 O 0.280 0.032 0.544
37 O 0.285 0.169 0.005
38 O 0.466 0.596 0.714
39 O 0.471 0.215 0.586
40 O 0.475 0.720 0.220
41 O 0.541 0.005 0.169
42 O 0.542 0.252 0.032
43 O 0.544 0.144 0.280
44 O 0.566 0.820 0.808
45 O 0.585 0.220 0.720
46 O 0.586 0.728 0.471
47 O 0.596 0.466 0.224
48 O 0.714 0.224 0.466
49 O 0.720 0.475 0.585
50 O 0.728 0.586 0.215
51 O 0.806 0.808 0.820
52 O 0.808 0.806 0.566
53 O 0.820 0.566 0.806
54 O 0.938 0.184 0.940
55 O 0.939 0.940 0.184
56 O 0.940 0.939 0.938

Properties
As for the space-group type: No. 22. As for the density of states at the Fermi level: 14.01 states/eV/cell. Its uncorrected energy is -362.1 eV per cell. The value obtained for the calculated density is 3.60 Mg/m³.



The following is a DFT calculation (PBE) of crystalline NaBiPCO7 at its relaxed geometry.

a b c (Å): 4.773 7.070 9.949
angles (deg): 90.00 96.03 90.00
Sites, in units of the cell vectors:
1 Na 0.194 0.000 0.294
2 Na 0.806 0.500 0.706
3 Bi 0.188 0.965 0.838
4 Bi 0.812 0.465 0.162
5 P 0.295 0.466 0.930
6 P 0.705 0.966 0.070
7 C 0.235 0.388 0.477
8 C 0.765 0.888 0.523
9 O 0.055 0.320 0.550
10 O 0.169 0.293 0.853
11 O 0.183 0.641 0.849
12 O 0.205 0.359 0.347
13 O 0.222 0.471 0.081
14 O 0.375 0.963 0.055
15 O 0.443 0.482 0.533
16 O 0.557 0.982 0.467
17 O 0.625 0.463 0.945
18 O 0.778 0.971 0.919
19 O 0.795 0.859 0.653
20 O 0.817 0.141 0.151
21 O 0.831 0.793 0.147
22 O 0.945 0.820 0.450

Properties
As for the space-group type: No. 4. Its uncorrected energy is -145.4 eV per cell. The value obtained for the calculated density is 3.85 Mg/m³.



The following is a DFT calculation (PBE) of crystalline Na4Bi2C4SO16 at its relaxed geometry.

a b c (Å): 10.489 10.381 10.313
angles (deg): 60.91 59.87 59.22
Sites, in units of the cell vectors:
1 Na 0.056 0.444 0.444
2 Na 0.204 0.796 0.204
3 Na 0.204 0.796 0.796
4 Na 0.206 0.206 0.794
5 Na 0.444 0.056 0.056
6 Na 0.794 0.794 0.206
7 Na 0.796 0.204 0.204
8 Na 0.796 0.204 0.796
9 Bi 0.122 0.633 0.627
10 Bi 0.618 0.627 0.633
11 Bi 0.627 0.618 0.122
12 Bi 0.633 0.122 0.618
13 C 0.405 0.777 0.407
14 C 0.407 0.411 0.405
15 C 0.411 0.407 0.777
16 C 0.450 0.860 0.858
17 C 0.777 0.405 0.411
18 C 0.832 0.858 0.860
19 C 0.858 0.832 0.450
20 C 0.860 0.450 0.832
21 S 0.000 0.000 0.000
22 S 0.250 0.250 0.250
23 O 0.057 0.059 0.060
24 O 0.059 0.057 0.824
25 O 0.060 0.824 0.057
26 O 0.188 0.427 0.195
27 O 0.190 0.195 0.427
28 O 0.195 0.190 0.188
29 O 0.277 0.415 0.527
30 O 0.281 0.777 0.409
31 O 0.286 0.532 0.772
32 O 0.409 0.533 0.281
33 O 0.410 0.772 0.532
34 O 0.415 0.277 0.781
35 O 0.427 0.188 0.190
36 O 0.448 0.743 0.844
37 O 0.448 0.847 0.992
38 O 0.451 0.989 0.742
39 O 0.527 0.781 0.277
40 O 0.532 0.286 0.410
41 O 0.533 0.409 0.777
42 O 0.713 0.992 0.847
43 O 0.742 0.817 0.451
44 O 0.743 0.448 0.964
45 O 0.772 0.410 0.286
46 O 0.777 0.281 0.533
47 O 0.781 0.527 0.415
48 O 0.817 0.742 0.989
49 O 0.824 0.060 0.059
50 O 0.844 0.964 0.448
51 O 0.847 0.448 0.713
52 O 0.964 0.844 0.743
53 O 0.989 0.451 0.817
54 O 0.992 0.713 0.448

Properties
As for the space-group type: No. 22. As for the density of states at the Fermi level: 0.34 states/eV/cell. The energy above the most stable polymorph in this dataset is 15 meV/atom. Its uncorrected energy is -348.0 eV per cell. The value obtained for the calculated density is 3.54 Mg/m³.



The following is a DFT calculation (PBE) of crystalline Na4Bi2C4SO16 at its relaxed geometry.

a b c (Å): 10.662 10.542 10.143
angles (deg): 62.02 60.83 57.15
Sites, in units of the cell vectors:
1 Na 0.075 0.675 0.075
2 Na 0.077 0.673 0.673
3 Na 0.325 0.925 0.325
4 Na 0.327 0.923 0.923
5 Na 0.673 0.077 0.077
6 Na 0.675 0.075 0.675
7 Na 0.923 0.327 0.327
8 Na 0.925 0.325 0.925
9 Bi 0.000 0.500 0.500
10 Bi 0.500 0.000 0.500
11 Bi 0.500 0.500 0.000
12 Bi 0.500 0.500 0.500
13 C 0.261 0.662 0.292
14 C 0.285 0.292 0.662
15 C 0.292 0.285 0.261
16 C 0.338 0.739 0.715
17 C 0.662 0.261 0.285
18 C 0.708 0.715 0.739
19 C 0.715 0.708 0.338
20 C 0.739 0.338 0.708
21 S 0.125 0.125 0.125
22 S 0.875 0.875 0.875
23 O 0.057 0.301 0.072
24 O 0.070 0.072 0.301
25 O 0.072 0.070 0.057
26 O 0.139 0.654 0.414
27 O 0.155 0.302 0.669
28 O 0.157 0.408 0.270
29 O 0.270 0.665 0.157
30 O 0.292 0.414 0.654
31 O 0.301 0.057 0.070
32 O 0.302 0.155 0.374
33 O 0.331 0.626 0.845
34 O 0.335 0.730 0.592
35 O 0.346 0.861 0.708
36 O 0.374 0.669 0.302
37 O 0.408 0.157 0.665
38 O 0.414 0.292 0.139
39 O 0.586 0.708 0.861
40 O 0.592 0.843 0.335
41 O 0.626 0.331 0.698
42 O 0.654 0.139 0.292
43 O 0.665 0.270 0.408
44 O 0.669 0.374 0.155
45 O 0.698 0.845 0.626
46 O 0.699 0.943 0.930
47 O 0.708 0.586 0.346
48 O 0.730 0.335 0.843
49 O 0.843 0.592 0.730
50 O 0.845 0.698 0.331
51 O 0.861 0.346 0.586
52 O 0.928 0.930 0.943
53 O 0.930 0.928 0.699
54 O 0.943 0.699 0.928

Properties
As for the space-group type: No. 70. As for the density of states at the Fermi level: 0.00 states/eV/cell. The energy above the most stable polymorph in this dataset is 0 meV/atom. Its uncorrected energy is -348.8 eV per cell. The value obtained for the calculated density is 3.50 Mg/m³.



The following is a DFT calculation (PBE) of crystalline NaBiCSO7 at its relaxed geometry.

a b c (Å): 5.585 6.934 9.769
angles (deg): 90.00 92.26 90.00
Sites, in units of the cell vectors:
1 Na 0.244 0.000 0.187
2 Na 0.756 0.500 0.813
3 Bi 0.217 0.770 0.630
4 Bi 0.783 0.270 0.370
5 C 0.252 0.754 0.902
6 C 0.748 0.254 0.098
7 S 0.269 0.288 0.595
8 S 0.731 0.788 0.405
9 O 0.044 0.769 0.827
10 O 0.095 0.436 0.646
11 O 0.218 0.263 0.443
12 O 0.222 0.106 0.670
13 O 0.266 0.768 0.028
14 O 0.440 0.725 0.823
15 O 0.483 0.857 0.383
16 O 0.517 0.357 0.617
17 O 0.560 0.225 0.177
18 O 0.734 0.268 0.972
19 O 0.778 0.606 0.330
20 O 0.782 0.763 0.557
21 O 0.905 0.936 0.354
22 O 0.956 0.269 0.173

Properties
As for the space-group type: No. 4. As for the density of states at the Fermi level: 0.00 states/eV/cell. Its uncorrected energy is -138.8 eV per cell. The value obtained for the calculated density is 3.41 Mg/m³.



The following is a DFT calculation (PBE) of crystalline Na3SiBiCO7 at its relaxed geometry.

a b c (Å): 5.232 7.191 9.472
angles (deg): 90.00 90.91 90.00
Sites, in units of the cell vectors:
1 Na 0.225 0.250 0.413
2 Na 0.246 0.511 0.753
3 Na 0.246 0.989 0.753
4 Na 0.754 0.011 0.247
5 Na 0.754 0.489 0.247
6 Na 0.775 0.750 0.587
7 Si 0.290 0.250 0.096
8 Si 0.710 0.750 0.904
9 Bi 0.231 0.750 0.133
10 Bi 0.769 0.250 0.867
11 C 0.272 0.750 0.447
12 C 0.728 0.250 0.553
13 O 0.052 0.750 0.379
14 O 0.187 0.250 0.927
15 O 0.193 0.068 0.186
16 O 0.193 0.432 0.186
17 O 0.277 0.750 0.584
18 O 0.394 0.750 0.909
19 O 0.486 0.750 0.378
20 O 0.514 0.250 0.622
21 O 0.606 0.250 0.091
22 O 0.723 0.250 0.416
23 O 0.807 0.568 0.814
24 O 0.807 0.932 0.814
25 O 0.813 0.750 0.073
26 O 0.948 0.250 0.621

Properties
As for the space-group type: No. 11. As for the density of states at the Fermi level: 0.00 states/eV/cell. Its uncorrected energy is -164.1 eV per cell. The value obtained for the calculated density is 4.01 Mg/m³.



The following is a DFT calculation (PBE) of crystalline NaBi2PtC at its relaxed geometry.

a b c (Å): 5.893 5.893 3.760
angles (deg): 90.00 90.00 90.00
Sites, in units of the cell vectors:
1 Na 0.000 0.000 0.000
2 Bi 0.000 0.500 0.500
3 Bi 0.500 0.000 0.500
4 Pt 0.500 0.500 0.500
5 C 0.500 0.500 0.000

Properties
As for the space-group type: No. 123. As for the density of states at the Fermi level: 1.68 states/eV/cell. Its uncorrected energy is -22.4 eV per cell. The value obtained for the calculated density is 8.24 Mg/m³.



The following is a DFT calculation (PBE) of crystalline NaReBi2C at its relaxed geometry.

a b c (Å): 5.251 5.251 4.003
angles (deg): 90.00 90.00 90.00
Sites, in units of the cell vectors:
1 Na 0.000 0.000 0.000
2 Re 0.500 0.500 0.000
3 Bi 0.000 0.500 0.500
4 Bi 0.500 0.000 0.500
5 C 0.500 0.500 0.500

Properties
As for the space-group type: No. 123. As for the density of states at the Fermi level: 5.16 states/eV/cell. Its uncorrected energy is -26.7 eV per cell. The value obtained for the calculated density is 9.62 Mg/m³.



The following is a DFT calculation (PBE) of crystalline Nb3BiC at its relaxed geometry.

a b c (Å): 4.412 4.412 4.412
angles (deg): 90.00 90.00 90.00
Sites, in units of the cell vectors:
1 Nb 0.000 0.000 0.500
2 Nb 0.000 0.500 0.000
3 Nb 0.500 0.000 0.000
4 Bi 0.500 0.500 0.500
5 C 0.000 0.000 0.000

Properties
As for the space-group type: No. 221. As for the density of states at the Fermi level: 5.43 states/eV/cell. Its uncorrected energy is -43.0 eV per cell. The value obtained for the calculated density is 9.66 Mg/m³.



The following is a DFT calculation (PBE) of crystalline NbBiC2 at its relaxed geometry.

a b c (Å): 6.299 6.299 6.299
angles (deg): 129.86 129.86 73.64
Sites, in units of the cell vectors:
1 Nb 0.000 0.000 0.000
2 Nb 0.750 0.250 0.500
3 Bi 0.250 0.750 0.500
4 Bi 0.500 0.500 0.000
5 C 0.059 0.625 0.934
6 C 0.375 0.309 0.434
7 C 0.691 0.125 0.066
8 C 0.875 0.941 0.566

Properties
As for the space-group type: No. 122. As for the density of states at the Fermi level: 1.29 states/eV/cell. Its uncorrected energy is -58.1 eV per cell. The value obtained for the calculated density is 7.53 Mg/m³.



The following is a DFT calculation (PBE) of crystalline Nb3BiC at its relaxed geometry.

a b c (Å): 5.179 5.179 5.179
angles (deg): 90.00 90.00 90.00
Sites, in units of the cell vectors:
1 Nb 0.000 0.000 0.500
2 Nb 0.000 0.500 0.000
3 Nb 0.500 0.000 0.000
4 Bi 0.000 0.000 0.000
5 C 0.500 0.500 0.500

Properties
As for the space-group type: No. 221. As for the density of states at the Fermi level: 8.49 states/eV/cell. Its uncorrected energy is -26.9 eV per cell. The value obtained for the calculated density is 5.97 Mg/m³.